PtPb2Se: optimized geometry, GGA-PBE.

Values from the calculation:
**DFT total energy**: -4.2549 eV/atom
**Size of the total moment**: 0.000 μB/atom
**Space group**: Cmm2

abc: 3.541 3.541 7.801
angles: 90.00 90.00 89.85
Positions (direct):
Pb 0.000 0.000 0.946
Pb 0.500 0.500 0.315
Pt 0.000 0.000 0.532
Se 0.500 0.500 0.707



PtPb2Se: optimized geometry, GGA-PBE.

Values from the calculation:
**DFT total energy**: -4.3593 eV/atom
**Size of the total moment**: 0.000 μB/atom
**Space group**: R3m

abc: 7.537 7.537 7.537
angles: 31.56 31.56 31.56
Positions (direct):
Pb 0.012 0.012 0.012
Pb 0.229 0.229 0.229
Pt 0.495 0.495 0.495
Se 0.764 0.764 0.764



PtPbSe2: optimized geometry, GGA-PBE.

Values from the calculation:
**DFT total energy**: -4.3094 eV/atom
**Size of the total moment**: 0.000 μB/atom
**Space group**: R3m

abc: 7.504 7.504 7.504
angles: 30.88 30.88 30.88
Positions (direct):
Pb 0.498 0.498 0.498
Pt 0.734 0.734 0.734
Se 0.025 0.025 0.025
Se 0.244 0.244 0.244



Pt4PbSe: optimized geometry, GGA-PBE.

Values from the calculation:
**DFT total energy**: -5.0566 eV/atom
**Size of the total moment**: 0.000 μB/atom
**Space group**: F-43m

abc: 5.444 5.444 5.444
angles: 60.00 60.00 60.00
Positions (direct):
Pt 0.874 0.375 0.375
Pt 0.375 0.375 0.874
Pt 0.375 0.874 0.375
Pt 0.375 0.375 0.375
Pb 0.000 0.000 0.000
Se 0.750 0.750 0.750



Pt3PbSe: optimized geometry, GGA-PBE.

Values from the calculation:
**DFT total energy**: -4.7895 eV/atom
**Size of the total moment**: 0.000 μB/atom
**Space group**: Pm-3m

abc: 4.788 4.788 4.788
angles: 90.00 90.00 90.00
Positions (direct):
Pb 0.500 0.500 0.500
Se 0.000 0.000 0.000
Pt 0.000 0.500 0.000
Pt 0.000 0.000 0.500
Pt 0.500 0.000 0.000



Pt3PbSe: optimized geometry, GGA-PBE.

Values from the calculation:
**DFT total energy**: -3.7301 eV/atom
**Size of the total moment**: 0.000 μB/atom
**Space group**: Pm-3m

abc: 5.068 5.068 5.068
angles: 90.00 90.00 90.00
Positions (direct):
Pb 0.000 0.000 0.000
Se 0.500 0.500 0.500
Pt 0.000 0.500 0.000
Pt 0.000 0.000 0.500
Pt 0.500 0.000 0.000



Pt2PbSe: optimized geometry, GGA-PBE.

Values from the calculation:
**DFT total energy**: -4.7551 eV/atom
**Size of the total moment**: 0.000 μB/atom
**Space group**: Fmmm

abc: 4.807 4.814 4.814
angles: 73.50 68.99 111.01
Positions (direct):
Pb 0.500 0.000 0.500
Pt 0.000 0.000 0.000
Pt 0.000 0.500 0.500
Se 0.500 0.500 0.000



Pt2PbSe: optimized geometry, GGA-PBE.

Values from the calculation:
**DFT total energy**: -4.5500 eV/atom
**Size of the total moment**: 0.000 μB/atom
**Space group**: F-43m

abc: 4.801 4.801 4.801
angles: 60.00 60.00 60.00
Positions (direct):
Pb 0.500 0.500 0.500
Pt 0.000 0.000 0.000
Pt 0.250 0.250 0.250
Se 0.750 0.750 0.750



PtPbSe2: optimized geometry, GGA-PBE.

Values from the calculation:
**DFT total energy**: -3.9350 eV/atom
**Size of the total moment**: 0.000 μB/atom
**Space group**: I-4m2

abc: 6.029 6.029 6.029
angles: 140.18 140.18 57.57
Positions (direct):
Pb 0.500 0.500 0.000
Pt 0.750 0.250 0.500
Se 0.000 0.000 0.000
Se 0.250 0.750 0.500



Pt2PbSe: optimized geometry, GGA-PBE.

Values from the calculation:
**DFT total energy**: -4.6926 eV/atom
**Size of the total moment**: 0.000 μB/atom
**Space group**: P4/mmm

abc: 3.335 3.335 6.959
angles: 90.00 90.00 89.98
Positions (direct):
Pb 0.500 0.500 0.750
Pt 0.000 0.000 0.039
Pt 0.000 0.000 0.461
Se 0.500 0.500 0.250



PtPbSe2: optimized geometry, GGA-PBE.

Values from the calculation:
**DFT total energy**: -4.4460 eV/atom
**Size of the total moment**: 0.000 μB/atom
**Space group**: P2/m

abc: 3.672 4.301 6.718
angles: 73.46 90.00 90.00
Positions (direct):
Pb 0.500 0.250 0.250
Pt 0.500 0.750 0.750
Se 0.000 0.828 0.978
Se 0.000 0.672 0.522



PtPbSe2: optimized geometry, GGA-PBE.

Values from the calculation:
**DFT total energy**: -4.2282 eV/atom
**Size of the total moment**: 0.000 μB/atom
**Space group**: Imm2

abc: 7.541 7.541 7.541
angles: 152.57 151.73 39.80
Positions (direct):
Pb 0.453 0.453 0.000
Pt 0.213 0.713 0.500
Se 0.066 0.066 0.000
Se 0.768 0.268 0.500



PtPb2Se: optimized geometry, GGA-PBE.

Values from the calculation:
**DFT total energy**: -4.3477 eV/atom
**Size of the total moment**: 0.000 μB/atom
**Space group**: I-42d

abc: 6.583 6.583 7.867
angles: 65.27 65.27 90.00
Positions (direct):
Pb 0.656 0.125 0.250
Pb 0.094 0.625 0.250
Pb 0.375 0.344 0.750
Pb 0.875 0.906 0.750
Se 0.500 0.500 0.000
Se 0.250 0.750 0.500
Pt 0.000 0.000 0.000
Pt 0.750 0.250 0.500



PtPbSe2: optimized geometry, GGA-PBE.

Values from the calculation:
**DFT total energy**: -4.0042 eV/atom
**Size of the total moment**: 0.000 μB/atom
**Space group**: Pmmm

abc: 4.884 4.991 3.544
angles: 90.00 90.00 90.00
Positions (direct):
Pb 0.500 0.000 0.500
Pt 0.000 0.500 0.500
Se 0.000 0.000 0.000
Se 0.500 0.500 0.000



Pt2PbSe: optimized geometry, GGA-PBE.

Values from the calculation:
**DFT total energy**: -4.9424 eV/atom
**Size of the total moment**: 0.000 μB/atom
**Space group**: I-42d

abc: 5.088 5.088 8.342
angles: 72.25 72.25 90.00
Positions (direct):
Pb 0.000 0.000 0.000
Pb 0.750 0.250 0.500
Se 0.500 0.500 0.000
Se 0.250 0.750 0.500
Pt 0.528 0.125 0.250
Pt 0.222 0.625 0.250
Pt 0.375 0.472 0.750
Pt 0.875 0.778 0.750



PtPbSe2: optimized geometry, GGA-PBE.

Values from the calculation:
**DFT total energy**: -4.4505 eV/atom
**Size of the total moment**: 0.000 μB/atom
**Space group**: R-3m

abc: 8.109 8.109 8.109
angles: 26.78 26.78 26.78
Positions (direct):
Pb 0.250 0.250 0.250
Pt 0.750 0.750 0.750
Se 0.025 0.025 0.025
Se 0.475 0.475 0.475



PtPb2Se: optimized geometry, GGA-PBE.

Values from the calculation:
**DFT total energy**: -4.0376 eV/atom
**Size of the total moment**: 0.000 μB/atom
**Space group**: F-43m

abc: 5.138 5.138 5.138
angles: 60.00 60.00 60.00
Positions (direct):
Pb 0.000 0.000 0.000
Pb 0.250 0.250 0.250
Pt 0.500 0.500 0.500
Se 0.750 0.750 0.750



PtPb2Se: optimized geometry, GGA-PBE.

Values from the calculation:
**DFT total energy**: -4.4885 eV/atom
**Size of the total moment**: 0.000 μB/atom
**Space group**: R-3m

abc: 7.423 7.423 7.423
angles: 32.39 32.39 32.39
Positions (direct):
Pb 0.992 0.992 0.992
Pb 0.508 0.508 0.508
Pt 0.250 0.250 0.250
Se 0.750 0.750 0.750



Pt2PbSe: optimized geometry, GGA-PBE.

Values from the calculation:
**DFT total energy**: -4.8037 eV/atom
**Size of the total moment**: 0.000 μB/atom
**Space group**: C2/m

abc: 3.860 3.860 6.832
angles: 73.52 73.52 59.76
Positions (direct):
Pb 0.250 0.250 0.250
Pt 0.009 0.009 0.970
Pt 0.491 0.491 0.530
Se 0.750 0.750 0.750



PtPbSe2: optimized geometry, GGA-PBE.

Values from the calculation:
**DFT total energy**: -4.4813 eV/atom
**Size of the total moment**: 0.000 μB/atom
**Space group**: C2/m

abc: 6.164 6.164 5.359
angles: 64.31 64.31 35.58
Positions (direct):
Pb 0.750 0.750 0.750
Pt 0.250 0.250 0.250
Se 0.907 0.907 0.093
Se 0.593 0.593 0.407